The following is a PBE calculation of a relaxed Pr3Dy8Tm4 crystal, from Alexandria via LeMat-Bulk.

Its density of states at the Fermi level is 1.845 states/eV/atom. For the energy relative to the elements, the calculation gives 6.0 eV/f.u. For the raw total energy, the calculation gives -4.204 eV/atom.

It has space group C2/m (No. 12), with a = 13.427 Å, b = 12.773 Å, c = 6.723 Å, α = 90.00°, β = 119.87° and γ = 90.00°. Symmetry generates all atoms from Pr at (0.000, 0.000, 0.000), Pr at (0.250, 0.250, 0.500), Dy at (0.000, 0.142, 0.500), Dy at (0.000, 0.250, 0.000), Dy at (0.229, 0.000, 0.521), Dy at (0.248, 0.000, 0.018), Tm at (0.000, 0.500, 0.000), Tm at (0.000, 0.500, 0.500) and Tm at (0.250, 0.250, 0.000).